(1)
A relaxed TbB3Os2 crystal, computed with PBE-GGA.

a b c (Å): 5.2618 5.2618 5.5595
angles (deg): 90.00 90.00 69.78
With the nearest neighbours (Å) after each atom.
Sites, in units of the cell vectors:
Tb: 0.1657 0.8343 0.7500  3 B 2.66-2.76
Tb: 0.8343 0.1657 0.2500  3 B 2.66-2.76
B: 0.0398 0.6275 0.2500  1 B 1.76
B: 0.3725 0.9602 0.2500  1 B 1.76
B: 0.3765 0.6235 0.2500  2 B 1.76
B: 0.6235 0.3765 0.7500  2 B 1.76
B: 0.6275 0.0398 0.7500  1 B 1.76
B: 0.9602 0.3725 0.7500  1 B 1.76
Os: 0.2967 0.2967 0.0000  6 B 2.18-2.36
Os: 0.2967 0.2967 0.5000  6 B 2.18-2.36
Os: 0.7033 0.7033 0.0000  6 B 2.18-2.36
Os: 0.7033 0.7033 0.5000  6 B 2.18-2.36

Properties
The calculated formation energy comes out at -0.370 eV per atom. The value obtained for the total magnetization is 0.00 μB per atom. As for the space group: Cmcm, No. 63. The total energy comes out at -98.69 eV per cell. Its volume is 12.04 A^3/atom.

---

(2)
A relaxed Th2GaFe2Co5 crystal, computed with PBE-GGA.

a b c (Å): 8.9612 8.9612 3.7717
angles (deg): 90.00 90.00 90.00
With the nearest neighbours (Å) after each atom.
Sites, in units of the cell vectors:
Th: 0.1907 0.3093 0.0000  3 Fe 2.56-2.77
Th: 0.3093 0.8093 0.0000  3 Fe 2.56-2.77
Th: 0.6907 0.1907 0.0000  3 Fe 2.56-2.77
Th: 0.8093 0.6907 0.0000  3 Fe 2.56-2.77
Ga: 0.0000 0.0000 0.0000  8 Co 2.72
Ga: 0.5000 0.5000 0.0000  8 Co 2.72
Fe: 0.1072 0.6072 0.0000  6 Co 2.32-2.53, 1 Th 2.56
Fe: 0.3928 0.1072 0.0000  6 Co 2.32-2.53, 1 Th 2.56
Fe: 0.6072 0.8928 0.0000  6 Co 2.32-2.53, 1 Th 2.56
Fe: 0.8928 0.3928 0.0000  6 Co 2.32-2.53, 1 Th 2.56
Co: 0.0000 0.5000 0.5000  4 Fe 2.32
Co: 0.0560 0.7892 0.5000  2 Fe 2.53, 3 Co 2.64-2.76, 2 Ga 2.72
Co: 0.2108 0.0560 0.5000  2 Fe 2.53, 3 Co 2.64-2.76, 2 Ga 2.72
Co: 0.2892 0.5560 0.5000  2 Fe 2.53, 3 Co 2.64-2.76, 2 Ga 2.72
Co: 0.4440 0.2892 0.5000  2 Fe 2.53, 3 Co 2.64-2.76, 2 Ga 2.72
Co: 0.5000 0.0000 0.5000  4 Fe 2.32
Co: 0.5560 0.7108 0.5000  2 Fe 2.53, 3 Co 2.64-2.76, 2 Ga 2.72
Co: 0.7108 0.4440 0.5000  2 Fe 2.53, 3 Co 2.64-2.76, 2 Ga 2.72
Co: 0.7892 0.9440 0.5000  2 Fe 2.53, 3 Co 2.64-2.76, 2 Ga 2.72
Co: 0.9440 0.2108 0.5000  2 Fe 2.53, 3 Co 2.64-2.76, 2 Ga 2.72

Properties
The calculated formation energy comes out at -0.070 eV per atom. The value obtained for the total magnetization is 0.80 μB per atom. As for the space group: P4/mbm, No. 127. The total energy comes out at -142.04 eV per cell. Its volume is 15.14 A^3/atom.

---

(3)
A relaxed RbIn2Hg crystal, computed with PBE-GGA.

a b c (Å): 7.5546 7.5546 7.5546
angles (deg): 38.32 38.32 38.32
With the nearest neighbours (Å) after each atom.
Sites, in units of the cell vectors:
Rb: 0.0000 0.0000 0.0000  6 In 3.85
In: 0.2109 0.2109 0.2109  3 Hg 3.01
In: 0.7891 0.7891 0.7891  3 Hg 3.01
Hg: 0.5000 0.5000 0.5000  6 In 3.01

Properties
The calculated formation energy comes out at -0.077 eV per atom. The value obtained for the total magnetization is 0.00 μB per atom. As for the space group: R-3m, No. 166. The total energy comes out at -7.06 eV per cell. Its volume is 37.23 A^3/atom.